No. 1
## CuOsRh2 (PBE)

Data for CuOsRh2 after structural relaxation.

Results
Raw total energy ... -57.77 eV for the cell shown
Density of states at the Fermi level ... 1.39 states/eV/atom
Formation energy from the elements ... 286 meV/atom
Density ... 13.46 g cm⁻³

a b c (Å): 2.7158 4.6103 9.0572
angles (deg): 90.00 90.00 90.00
Last column: nearest neighbours and their distance in Å.
Space group Cmmm (No. 65)
Inequivalent atoms, fractional coordinates:
Cu  0.0000  0.0000  0.0000 (multiplicity 2)  4 Rh 2.61, 6 Cu 2.68-2.72
Os  0.0000  0.0000  0.5000 (multiplicity 2)  4 Rh 2.67, 6 Os 2.68-2.72
Rh  0.0000  0.5000  0.2459 (multiplicity 4)  2 Cu 2.61, 2 Os 2.67, 6 Rh 2.68-2.72

=====

No. 2
## Ba2YCr (PBE)

Data for Ba2YCr after structural relaxation.

Results
Raw total energy ... -51.43 eV for the cell shown
Density of states at the Fermi level ... 1.29 states/eV/atom
Formation energy from the elements ... 697 meV/atom
Density ... 4.30 g cm⁻³

a b c (Å): 3.9568 3.9568 35.5299
angles (deg): 90.00 90.00 120.00
Last column: nearest neighbours and their distance in Å.
Space group R-3m (No. 166, hexagonal axes)
Inequivalent atoms, fractional coordinates:
Ba  0.0000  0.0000  0.2420 (multiplicity 6)  3 Cr 3.52
Y  0.0000  0.0000  0.0000 (multiplicity 3)  6 Y 3.96, 6 Ba 3.97
Cr  0.0000  0.0000  0.5000 (multiplicity 3)  6 Ba 3.52

=====

No. 3
## SrLa2Cd (PBE)

Data for SrLa2Cd after structural relaxation.

Results
Raw total energy ... -12.75 eV for the cell shown
Density of states at the Fermi level ... 1.38 states/eV/atom
Formation energy from the elements ... -75 meV/atom
Density ... 5.21 g cm⁻³

a b c (Å): 4.0467 4.0467 9.3089
angles (deg): 90.00 90.00 90.00
Last column: nearest neighbours and their distance in Å.
Space group P4/mmm (No. 123)
Inequivalent atoms, fractional coordinates:
Sr  0.0000  0.0000  0.0000 (multiplicity 1)  4 Sr 4.05, 8 La 4.06
La  0.5000  0.5000  0.3097 (multiplicity 2)  4 Cd 3.37, 1 La 3.54
Cd  0.0000  0.0000  0.5000 (multiplicity 1)  8 La 3.37

=====

No. 4
## GaGeH (PBE)

Data for GaGeH after structural relaxation.

Results
Raw total energy ... -21.23 eV for the cell shown
Density of states at the Fermi level ... 0.19 states/eV/atom
Density ... 4.60 g cm⁻³

a b c (Å): 4.2209 4.5731 6.1978
angles (deg): 68.39 70.16 89.87
Last column: nearest neighbours and their distance in Å.
Space group P1 (No. 1)
Inequivalent atoms, fractional coordinates:
Ga  0.0000  0.0000  0.0000 (multiplicity 1)  2 Ge 2.63, 2 Ga 2.63-2.64
Ga  0.3526  0.8524  0.2948 (multiplicity 1)  3 Ge 2.48-2.66, 2 Ga 2.63-2.64
Ge  0.1246  0.6210  0.7569 (multiplicity 1)  3 Ga 2.48-2.63, 2 Ge 2.61
Ge  0.4818  0.4770  0.0438 (multiplicity 1)  2 Ge 2.61, 2 Ga 2.65-2.66
H  0.7243  0.3253  0.5108 (multiplicity 1)  1 H 0.76
H  0.7691  0.1660  0.5079 (multiplicity 1)  1 H 0.76

=====

No. 5
## LaTa (PBE)

Data for LaTa after structural relaxation.

Results
Raw total energy ... -94.96 eV for the cell shown
Density of states at the Fermi level ... 1.63 states/eV/atom
Formation energy from the elements ... 476 meV/atom
Density ... 9.40 g cm⁻³

a b c (Å): 3.5843 13.3957 7.0625
angles (deg): 90.00 90.00 90.00
Last column: nearest neighbours and their distance in Å.
Space group Imm2 (No. 44)
Inequivalent atoms, fractional coordinates:
La  0.0000  0.0000  0.0000 (multiplicity 2)  5 Ta 3.16-3.43
La  0.0000  0.3018  0.7637 (multiplicity 4)  5 Ta 3.22-3.57, 2 La 3.58
Ta  0.0000  0.0000  0.4861 (multiplicity 2)  4 Ta 2.70
Ta  0.0000  0.3945  0.1909 (multiplicity 4)  3 Ta 2.70-2.83

=====

No. 6
## ScTlAu2F (PBE)

Data for ScTlAu2F after structural relaxation.

Results
Raw total energy ... -21.99 eV for the cell shown
Density of states at the Fermi level ... 0.68 states/eV/atom
E_form (uncorrected) ... -0.97 eV per atom
Density ... 9.10 g cm⁻³

a b c (Å): 5.4885 5.4885 4.0098
angles (deg): 90.00 90.00 90.00
Last column: nearest neighbours and their distance in Å.
Space group P4/mmm (No. 123)
Inequivalent atoms, fractional coordinates:
Sc  0.0000  0.0000  0.0000 (multiplicity 1)  2 F 2.00
Tl  0.5000  0.5000  0.5000 (multiplicity 1)  8 Au 3.40
Au  0.0000  0.5000  0.0000 (multiplicity 2)  2 Sc 2.74
F  0.0000  0.0000  0.5000 (multiplicity 1)  2 Sc 2.00

=====

No. 7
## GaTeIr (PBE)

Data for GaTeIr after structural relaxation.

Results
Raw total energy ... -30.39 eV for the cell shown
Density of states at the Fermi level ... 0.55 states/eV/atom
E_form (uncorrected) ... -0.06 eV per atom
Density ... 9.95 g cm⁻³

a b c (Å): 3.6059 3.0368 11.8715
angles (deg): 90.00 90.00 90.00
Last column: nearest neighbours and their distance in Å.
Space group Amm2 (No. 38)
Inequivalent atoms, fractional coordinates:
Ga  0.0000  0.0000  0.0000 (multiplicity 2)  4 Ir 2.58
Te  0.0000  0.0000  0.7524 (multiplicity 2)  2 Ir 2.66, 1 Ga 2.94
Ir  0.5000  0.0000  0.5882 (multiplicity 2)  4 Ga 2.58, 2 Te 2.66

=====

No. 8
## KTiO2F (PBE)

Data for KTiO2F after structural relaxation.

Results
Raw total energy ... -34.71 eV for the cell shown
E_form (uncorrected) ... -2.79 eV per atom
Density ... 3.62 g cm⁻³

a b c (Å): 3.8807 3.8807 4.1989
angles (deg): 90.00 90.00 90.00
Last column: nearest neighbours and their distance in Å.
Space group P4/mmm (No. 123)
Inequivalent atoms, fractional coordinates:
K  0.0000  0.0000  0.0000 (multiplicity 1)  4 F 2.74, 8 O 2.86
Ti  0.5000  0.5000  0.5000 (multiplicity 1)  4 O 1.94, 2 F 2.10
O  0.0000  0.5000  0.5000 (multiplicity 2)  2 Ti 1.94
F  0.5000  0.5000  0.0000 (multiplicity 1)  2 Ti 2.10

=====

No. 9
## TiAgRu2 (PBE)

Data for TiAgRu2 after structural relaxation.

Results
Raw total energy ... -108.66 eV for the cell shown
Density of states at the Fermi level ... 1.04 states/eV/atom
Formation energy from the elements ... 533 meV/atom
Density ... 8.70 g cm⁻³

a b c (Å): 3.9097 3.9097 17.8768
angles (deg): 90.00 90.00 90.00
Last column: nearest neighbours and their distance in Å.
Space group I-42d (No. 122)
Inequivalent atoms, fractional coordinates:
Ti  0.0000  0.0000  0.0000 (multiplicity 4)  4 Ru 2.55, 4 Ag 2.76
Ag  0.0000  0.0000  0.5000 (multiplicity 4)  4 Ru 2.72, 4 Ti 2.76
Ru  0.1912  0.2500  0.1250 (multiplicity 8)  2 Ru 2.46, 2 Ti 2.55, 2 Ag 2.72

=====

No. 10
## POsCS (PBE)

Data for POsCS after structural relaxation.

Results
Raw total energy ... -55.70 eV for the cell shown
Density of states at the Fermi level ... 0.22 states/eV/atom
E_form (uncorrected) ... 0.54 eV per atom
Density ... 8.56 g cm⁻³

a b c (Å): 10.0794 2.8634 3.8351
angles (deg): 90.00 111.54 90.00
Last column: nearest neighbours and their distance in Å.
Space group Cm (No. 8)
Inequivalent atoms, fractional coordinates:
P  0.0000  0.0000  0.0000 (multiplicity 2)  1 C 1.98
Os  0.4377  0.0000  0.4160 (multiplicity 2)  1 C 2.23, 1 S 2.34, 2 P 2.39
C  0.2047  0.0000  0.0704 (multiplicity 2)  2 S 1.84, 1 P 1.98
S  0.1835  0.5000  0.7512 (multiplicity 2)  2 C 1.84

=====

No. 11
## LiTm2Si2 (PBE)

Data for LiTm2Si2 after structural relaxation.

Results
Raw total energy ... -49.44 eV for the cell shown
Density of states at the Fermi level ... 0.59 states/eV/atom
E_form (uncorrected) ... -0.60 eV per atom
Density ... 6.54 g cm⁻³

a b c (Å): 4.1997 5.8442 8.2978
angles (deg): 90.00 90.00 90.00
Last column: nearest neighbours and their distance in Å.
Space group Immm (No. 71)
Inequivalent atoms, fractional coordinates:
Li  0.0000  0.0000  0.0000 (multiplicity 2)  4 Si 2.71
Tm  0.0000  0.5000  0.2091 (multiplicity 4)  6 Si 2.96-2.98, 2 Li 3.20
Si  0.0000  0.2070  0.5000 (multiplicity 4)  1 Si 2.42

=====

No. 12
## La2CdIn12 (PBE)

Data for La2CdIn12 after structural relaxation.

Results
Raw total energy ... -91.99 eV for the cell shown
Density of states at the Fermi level ... 0.50 states/eV/atom
Formation energy from the elements ... -158 meV/atom
Density ... 6.95 g cm⁻³

a b c (Å): 6.6070 6.6070 19.3632
angles (deg): 90.00 90.00 90.00
Last column: nearest neighbours and their distance in Å.
Space group P4/nbm (No. 125, origin choice 2)
Inequivalent atoms, fractional coordinates:
La  0.2500  0.7500  0.2248 (multiplicity 4)  10 In 3.46-3.61
Cd  0.2500  0.7500  0.5000 (multiplicity 2)  8 In 3.04-3.06
In  0.0014  0.5014  0.3985 (multiplicity 8)  6 In 3.02-3.30, 2 Cd 3.04-3.06
In  0.0765  0.5765  0.9333 (multiplicity 8)  4 In 2.95-3.24
In  0.2500  0.2500  0.1549 (multiplicity 4)  5 In 2.80-2.98
In  0.2500  0.2500  0.2993 (multiplicity 4)  5 In 2.80-3.02